No. 1
First-principles (PBE) data for a geometry-optimized Ca2FePdC structure, as listed in the Alexandria database.

a b c (Å): 5.0897 5.0897 3.6651
angles (deg): 90.00 90.00 90.00
Element x y z (fractional)
Ca (0.0000, 0.5000, 0.0000)
Ca (0.5000, 0.0000, 0.0000)
Fe (0.0000, 0.0000, 0.5000)
Pd (0.5000, 0.5000, 0.5000)
C (0.0000, 0.0000, 0.0000)

Calculated values
**M_tot**: 1.54 μB/cell
**Calculated total energy**: -5.45 eV per atom
**ΔH_f (0 K)**: -0.07 eV/atom

No. 2
First-principles (PBE) data for a geometry-optimized CaFeRh2C structure, as listed in the Alexandria database.

a b c (Å): 4.2134 4.2134 3.9282
angles (deg): 90.00 90.00 90.00
Element x y z (fractional)
Ca (0.0000, 0.0000, 0.0000)
Fe (0.5000, 0.5000, 0.0000)
Rh (0.0000, 0.5000, 0.5000)
Rh (0.5000, 0.0000, 0.5000)
C (0.5000, 0.5000, 0.5000)

Calculated values
**M_tot**: 1.98 μB/cell
**Calculated total energy**: -6.96 eV per atom
**ΔH_f (0 K)**: -0.08 eV/atom

Q: Which of these has the highest calculated total energy?
A: Ca2FePdC